No. 1
The following is a DFT calculation (PBE-GGA) of crystalline ZrCo2As at its relaxed geometry.

a b c (Å): 5.2670 3.9679 5.4678
angles (deg): 90.00 90.02 90.00
Fractional coordinates of all 8 atoms:
As: 0.7503 0.7500 0.2123
As: 0.2497 0.2500 0.7877
Co: 0.9919 0.2500 0.1459
Co: 0.5080 0.2500 0.1459
Co: 0.4920 0.7500 0.8541
Co: 0.0081 0.7500 0.8541
Zr: 0.2502 0.7500 0.3873
Zr: 0.7498 0.2500 0.6127

Values from the calculation:
**Size of the total moment**: 0.0 μB per cell
**Electronic total energy**: -7.332 eV/atom



No. 2
The following is a DFT calculation (PBE-GGA) of crystalline ZrH3 at its relaxed geometry.

a b c (Å): 3.4338 3.4338 5.8703
angles (deg): 90.00 90.00 120.00
Fractional coordinates of all 8 atoms:
H: 0.3333 0.6667 0.0979
H: 0.0000 0.0000 0.2500
H: 0.3333 0.6667 0.4021
H: 0.6667 0.3333 0.5979
H: 0.0000 0.0000 0.7500
H: 0.6667 0.3333 0.9021
Zr: 0.6667 0.3333 0.2500
Zr: 0.3333 0.6667 0.7500

Values from the calculation:
**Size of the total moment**: 0.0 μB per cell
**Electronic total energy**: -5.052 eV/atom



What did the second record say?
The following is a DFT calculation (PBE-GGA) of crystalline ZrH3 at its relaxed geometry.

a b c (Å): 3.4338 3.4338 5.8703
angles (deg): 90.00 90.00 120.00
Fractional coordinates of all 8 atoms:
H: 0.3333 0.6667 0.0979
H: 0.0000 0.0000 0.2500
H: 0.3333 0.6667 0.4021
H: 0.6667 0.3333 0.5979
H: 0.0000 0.0000 0.7500
H: 0.6667 0.3333 0.9021
Zr: 0.6667 0.3333 0.2500
Zr: 0.3333 0.6667 0.7500

Values from the calculation:
**Size of the total moment**: 0.0 μB per cell
**Electronic total energy**: -5.052 eV/atom